DFT (PBE-GGA) results for an optimized crystal structure of CsKIn2I4.

Unit cell a=8.912 b=5.160 c=8.938 alpha=90.00 beta=109.56 gamma=90.00
Element x y z (fractional)
1 Cs 0.000 0.000 0.000
2 K 0.000 0.500 0.500
3 In 0.500 0.000 0.500
4 In 0.500 0.500 0.000
5 I 0.262 0.000 0.744
6 I 0.270 0.500 0.268
7 I 0.730 0.500 0.732
8 I 0.738 0.000 0.256

Summary:
Raw formation energy = -0.9662 eV per atom



DFT (PBE-GGA) results for an optimized crystal structure of Pa2GaPd.

Unit cell a=4.336 b=4.336 c=4.403 alpha=90.00 beta=90.00 gamma=90.00
Element x y z (fractional)
1 Pa 0.000 0.500 0.000
2 Pa 0.500 0.000 0.000
3 Ga 0.000 0.000 0.500
4 Pd 0.500 0.500 0.500

Summary:
E above lowest polymorph = 0 meV/atom
E_form = -36 kJ per mole of atoms



DFT (PBE-GGA) results for an optimized crystal structure of RbUSb2S5.

Unit cell a=8.070 b=8.070 c=8.070 alpha=141.99 beta=125.25 gamma=68.59
Element x y z (fractional)
1 Rb 0.000 0.000 0.000
2 U 0.500 0.500 0.000
3 Sb 0.266 0.766 0.500
4 Sb 0.734 0.234 0.500
5 S 0.106 0.359 0.748
6 S 0.389 0.641 0.748
7 S 0.500 0.000 0.500
8 S 0.611 0.359 0.252
9 S 0.894 0.641 0.252

Summary:
Raw formation energy = -0.6270 eV per atom



DFT (PBE-GGA) results for an optimized crystal structure of TbUAgS4.

Unit cell a=7.984 b=7.984 c=7.984 alpha=120.31 beta=119.49 gamma=90.17
Element x y z (fractional)
1 Tb 0.500 0.000 0.000
2 Tb 0.500 0.500 0.500
3 U 0.000 0.000 0.000
4 U 0.500 0.000 0.500
5 Ag 0.120 0.370 0.750
6 Ag 0.880 0.630 0.250
7 S 0.252 0.238 0.014
8 S 0.255 0.236 0.480
9 S 0.255 0.775 0.020
10 S 0.276 0.762 0.514
11 S 0.724 0.238 0.486
12 S 0.745 0.225 0.980
13 S 0.745 0.764 0.520
14 S 0.748 0.762 0.986

Summary:
Raw formation energy = -1.3415 eV per atom



DFT (PBE-GGA) results for an optimized crystal structure of AcNd3Se4.

Unit cell a=7.462 b=7.462 c=4.248 alpha=90.00 beta=90.00 gamma=108.97
Element x y z (fractional)
1 Ac 0.000 0.000 0.000
2 Nd 0.000 0.500 0.500
3 Nd 0.500 0.000 0.500
4 Nd 0.500 0.500 0.000
5 Se 0.255 0.745 0.000
6 Se 0.260 0.260 0.500
7 Se 0.740 0.740 0.500
8 Se 0.745 0.255 0.000

Summary:
E above lowest polymorph = 0 meV/atom
Raw formation energy = -1.8341 eV per atom



DFT (PBE-GGA) results for an optimized crystal structure of CaZnPdO4.

Unit cell a=5.449 b=5.449 c=7.166 alpha=90.00 beta=90.00 gamma=113.46
Element x y z (fractional)
1 Ca 0.000 0.000 0.000
2 Ca 0.000 0.000 0.500
3 Zn 0.367 0.633 0.750
4 Zn 0.633 0.367 0.250
5 Pd 0.317 0.683 0.250
6 Pd 0.683 0.317 0.750
7 O 0.240 0.272 0.250
8 O 0.266 0.734 0.511
9 O 0.266 0.734 0.989
10 O 0.272 0.240 0.750
11 O 0.728 0.760 0.250
12 O 0.734 0.266 0.011
13 O 0.734 0.266 0.489
14 O 0.760 0.728 0.750

Summary:
Raw formation energy = -1.1157 eV per atom



DFT (PBE-GGA) results for an optimized crystal structure of HfScAlGa.

Unit cell a=4.755 b=4.755 c=4.755 alpha=60.00 beta=60.00 gamma=60.00
Element x y z (fractional)
1 Hf 0.000 0.000 0.000
2 Sc 0.500 0.500 0.500
3 Al 0.250 0.250 0.250
4 Ga 0.750 0.750 0.750

Summary:
E_form = -33 kJ per mole of atoms



DFT (PBE-GGA) results for an optimized crystal structure of Sm2NbGa2Ru5.

Unit cell a=10.207 b=10.207 c=3.353 alpha=90.00 beta=90.00 gamma=90.00
Element x y z (fractional)
1 Sm 0.172 0.328 0.000
2 Sm 0.328 0.828 0.000
3 Sm 0.672 0.172 0.000
4 Sm 0.828 0.672 0.000
5 Nb 0.000 0.000 0.000
6 Nb 0.500 0.500 0.000
7 Ga 0.127 0.627 0.000
8 Ga 0.373 0.127 0.000
9 Ga 0.627 0.873 0.000
10 Ga 0.873 0.373 0.000
11 Ru 0.000 0.500 0.500
12 Ru 0.066 0.802 0.500
13 Ru 0.198 0.066 0.500
14 Ru 0.302 0.566 0.500
15 Ru 0.434 0.302 0.500
16 Ru 0.500 0.000 0.500
17 Ru 0.566 0.698 0.500
18 Ru 0.698 0.434 0.500
19 Ru 0.802 0.934 0.500
20 Ru 0.934 0.198 0.500

Summary:
E_form = -31 kJ per mole of atoms



Total DFT energy (no corrections) values, unit eV per atom, following the record order: -2.67; -7.17; -5.20; -6.38; -5.88; -5.16; -6.11; -7.51.
Spin magnetization values, unit μB per atom, following the record order: 0.000; 0.000; 0.203; 0.286; 0.000; 0.277; 0.000; 0.000.